Entry 1:
Material: Y2InRuCl
Method: DFT, PBE
State: optimized geometry

Summary:
Its raw total energy is -5.1096 eV per atom. Its crystal system is tetragonal. As for the raw formation energy: 0.248 eV per atom. The calculated density comes out at 5624 kg/m³. As for the space group: P4/mmm.

Geometry as POSCAR:
```
Y2InRuCl
1.0
5.012 0.000 0.000
0.000 5.012 0.000
0.000 0.000 5.044
Y In Ru Cl
2 1 1 1
direct
0.000 0.500 0.000 Y
0.500 0.000 0.000 Y
0.000 0.000 0.500 In
0.500 0.500 0.500 Ru
0.000 0.000 0.000 Cl
```

---

Entry 2:
Material: InS2Cl
Method: DFT, PBE
State: optimized geometry

Summary:
Its raw total energy is -3.4874 eV per atom. Its crystal system is trigonal. As for the raw formation energy: -0.277 eV per atom. The calculated density comes out at 3551 kg/m³. As for the space group: R-3m.

Geometry as POSCAR:
```
InS2Cl
1.0
1.979 1.142 7.392
-1.979 1.142 7.392
0.000 -2.285 7.392
In S Cl
1 2 1
direct
0.000 0.000 0.000 In
0.394 0.394 0.394 S
0.606 0.606 0.606 S
0.500 0.500 0.500 Cl
```